# 1
Computed, not measured: a geometry-optimized SrCaZn structure at the GGA-PBE level of DFT.

a = 5.5540 Å, b = 5.5540 Å, c = 5.5540 Å
α = 60.00°, β = 60.00°, γ = 60.00°
Sites, in units of the cell vectors:
Zn 0.0000 0.0000 0.0000
Ca 0.5000 0.5000 0.5000
Sr 0.7500 0.7500 0.7500

## Properties
For the offset from the most stable computed form, the calculation gives 1.91 eV per formula unit. The value obtained for the density of states at the Fermi level is 4.38 states/eV/cell. Its total moment is 0.00 Bohr magnetons per cell. The theoretical density comes out at 2.647 g/cm³.

# 2
Computed, not measured: a geometry-optimized PmPaAl structure at the GGA-PBE level of DFT.

a = 4.2853 Å, b = 3.2574 Å, c = 11.1366 Å
α = 81.59°, β = 90.00°, γ = 90.00°
Sites, in units of the cell vectors:
Pa 0.2500 0.2886 0.4228
Pa 0.7500 0.7114 0.5772
Pm 0.2500 0.4354 0.1293
Pm 0.7500 0.5646 0.8707
Al 0.2500 0.1410 0.7179
Al 0.7500 0.8590 0.2821

## Properties
For the offset from the most stable computed form, the calculation gives 0.00 eV per formula unit. The value obtained for the density of states at the Fermi level is 7.93 states/eV/cell. Its total moment is 0.00 Bohr magnetons per cell. The theoretical density comes out at 8.703 g/cm³.

# 3
Computed, not measured: a geometry-optimized BaCr2Ru structure at the GGA-PBE level of DFT.

a = 6.8215 Å, b = 5.1466 Å, c = 3.1513 Å
α = 90.08°, β = 62.35°, γ = 121.37°
Sites, in units of the cell vectors:
Ru 0.0000 0.5000 0.5000
Cr 0.0000 0.0000 0.0000
Cr 0.5000 0.0000 0.5000
Ba 0.5000 0.5000 0.0000

## Properties
For the offset from the most stable computed form, the calculation gives 2.83 eV per formula unit. The value obtained for the density of states at the Fermi level is 4.80 states/eV/cell. Its total moment is 6.92 Bohr magnetons per cell. The theoretical density comes out at 7.166 g/cm³.